Here is a relaxed structure of LaV3Zn from Alexandria via LeMat-Bulk. Energies are from PBE.

Computed properties:
Total moment, μB/cell: 9.0
E, eV per atom: -5.7692
Energy relative to the elements, kJ/mol of formula units: 455
E above lowest polymorph, meV per atom: 0

Lattice parameters (Å, degrees): 4.8097 4.8097 4.8097 90.00 90.00 90.00
Fractional coordinates of all 5 atoms:
La 0.5000 0.5000 0.5000
Zn 0.0000 0.0000 0.0000
V 0.5000 0.0000 0.0000
V 0.0000 0.5000 0.0000
V 0.0000 0.0000 0.5000

***

Here is a relaxed structure of LaV3Zn from Alexandria via LeMat-Bulk. Energies are from PBE.

Computed properties:
Total moment, μB/cell: 0.0
E, eV per atom: -5.0792
Energy relative to the elements, kJ/mol of formula units: 787
E above lowest polymorph, meV per atom: 690

Lattice parameters (Å, degrees): 4.5455 4.5455 4.5455 90.00 90.00 90.00
Fractional coordinates of all 5 atoms:
V 0.0000 0.5000 0.0000
V 0.5000 0.0000 0.0000
V 0.0000 0.0000 0.5000
La 0.0000 0.0000 0.0000
Zn 0.5000 0.5000 0.5000

***

Here is a relaxed structure of LaZr3V from Alexandria via LeMat-Bulk. Energies are from PBE.

Computed properties:
Total moment, μB/cell: 0.0
E, eV per atom: -7.4961
Energy relative to the elements, kJ/mol of formula units: 213
E above lowest polymorph, meV per atom: 0

Lattice parameters (Å, degrees): 5.0720 5.0720 5.0720 90.00 90.00 90.00
Fractional coordinates of all 5 atoms:
Zr 0.5000 0.0000 0.0000
Zr 0.0000 0.5000 0.0000
Zr 0.0000 0.0000 0.5000
V 0.0000 0.0000 0.0000
La 0.5000 0.5000 0.5000

***

Here is a relaxed structure of La2ZrV from Alexandria via LeMat-Bulk. Energies are from PBE.

Computed properties:
Total moment, μB/cell: 1.4
E, eV per atom: -6.4699
Energy relative to the elements, kJ/mol of formula units: 158
E above lowest polymorph, meV per atom: 0

Lattice parameters (Å, degrees): 5.3800 5.3800 5.3800 60.00 60.00 60.00
Fractional coordinates of all 4 atoms:
La 0.2500 0.2500 0.2500
La 0.7500 0.7500 0.7500
Zr 0.5000 0.5000 0.5000
V 0.0000 0.0000 0.0000

***

Here is a relaxed structure of La2ZrV from Alexandria via LeMat-Bulk. Energies are from PBE.

Computed properties:
Total moment, μB/cell: 4.6
E, eV per atom: -6.1862
Energy relative to the elements, kJ/mol of formula units: 268
E above lowest polymorph, meV per atom: 284

Lattice parameters (Å, degrees): 8.4690 8.4690 6.7555 51.18 51.18 90.00
Fractional coordinates of all 8 atoms:
La 0.3750 0.4154 0.7500
La 0.1654 0.6250 0.2500
La 0.5846 0.1250 0.2500
La 0.8750 0.8346 0.7500
Zr 0.7500 0.2500 0.5000
Zr 0.0000 0.0000 0.0000
V 0.5000 0.5000 0.0000
V 0.2500 0.7500 0.5000

***

Here is a relaxed structure of LaZr3V from Alexandria via LeMat-Bulk. Energies are from PBE.

Computed properties:
Total moment, μB/cell: 2.5
E, eV per atom: -6.4280
Energy relative to the elements, kJ/mol of formula units: 729
E above lowest polymorph, meV per atom: 1068

Lattice parameters (Å, degrees): 5.1328 5.1328 5.1328 90.00 90.00 90.00
Fractional coordinates of all 5 atoms:
Zr 0.5000 0.0000 0.0000
Zr 0.0000 0.5000 0.0000
Zr 0.0000 0.0000 0.5000
V 0.5000 0.5000 0.5000
La 0.0000 0.0000 0.0000

***

Here is a relaxed structure of LaZr2V from Alexandria via LeMat-Bulk. Energies are from PBE.

Computed properties:
Total moment, μB/cell: 0.0
E, eV per atom: -6.4573
Energy relative to the elements, kJ/mol of formula units: 513
E above lowest polymorph, meV per atom: 948

Lattice parameters (Å, degrees): 7.3305 7.3305 7.3485 60.08 60.08 90.00
Fractional coordinates of all 8 atoms:
Zr 0.8750 0.6253 0.7500
Zr 0.3747 0.6250 0.2500
Zr 0.3753 0.1250 0.2500
Zr 0.3750 0.6247 0.7500
V 0.2500 0.7500 0.5000
V 0.5000 0.5000 0.0000
La 0.7500 0.2500 0.5000
La 0.0000 0.0000 0.0000

***

Here is a relaxed structure of LaZr2V from Alexandria via LeMat-Bulk. Energies are from PBE.

Computed properties:
Total moment, μB/cell: 1.2
E, eV per atom: -7.4057
Energy relative to the elements, kJ/mol of formula units: 147
E above lowest polymorph, meV per atom: 0

Lattice parameters (Å, degrees): 3.1856 3.1856 10.8616 81.57 81.57 60.00
Fractional coordinates of all 4 atoms:
Zr 0.0999 0.0999 0.7002
Zr 0.9001 0.9001 0.2998
V 0.5000 0.5000 0.5000
La 0.0000 0.0000 0.0000

***

Here is a relaxed structure of LaZr2V from Alexandria via LeMat-Bulk. Energies are from PBE.

Computed properties:
Total moment, μB/cell: 2.6
E, eV per atom: -7.3817
Energy relative to the elements, kJ/mol of formula units: 156
E above lowest polymorph, meV per atom: 24

Lattice parameters (Å, degrees): 5.0643 5.0643 5.0643 60.00 60.00 60.00
Fractional coordinates of all 4 atoms:
La 0.5000 0.5000 0.5000
Zr 0.7500 0.7500 0.7500
Zr 0.2500 0.2500 0.2500
V 0.0000 0.0000 0.0000

***

Here is a relaxed structure of LaZr2V2 from Alexandria via LeMat-Bulk. Energies are from PBE.

Computed properties:
Total moment, μB/cell: 0.0
E, eV per atom: -7.7178
Energy relative to the elements, kJ/mol of formula units: 161

Lattice parameters (Å, degrees): 8.0548 8.0548 3.3727 90.00 90.00 90.00
Fractional coordinates of all 10 atoms:
V 0.9115 0.5885 0.0000
V 0.5885 0.0885 0.0000
V 0.0885 0.4115 0.0000
V 0.4115 0.9115 0.0000
La 0.5000 0.5000 0.0000
La 0.0000 0.0000 0.0000
Zr 0.1943 0.6943 0.5000
Zr 0.3057 0.1943 0.5000
Zr 0.6943 0.8057 0.5000
Zr 0.8057 0.3057 0.5000

***

Here is a relaxed structure of LaZrV3 from Alexandria via LeMat-Bulk. Energies are from PBE.

Computed properties:
Total moment, μB/cell: 6.1
E, eV per atom: -7.0428
Energy relative to the elements, kJ/mol of formula units: 542
E above lowest polymorph, meV per atom: 0

Lattice parameters (Å, degrees): 4.9002 4.9002 4.9002 90.00 90.00 90.00
Fractional coordinates of all 5 atoms:
V 0.0000 0.0000 0.5000
V 0.0000 0.5000 0.0000
V 0.5000 0.0000 0.0000
Zr 0.0000 0.0000 0.0000
La 0.5000 0.5000 0.5000

***

Here is a relaxed structure of La5W3 from Alexandria via LeMat-Bulk. Energies are from PBE.

Computed properties:
Total moment, μB/cell: 0.0
E, eV per atom: -7.3257
Energy relative to the elements, kJ/mol of formula units: 472

Lattice parameters (Å, degrees): 7.6061 7.6061 3.6201 90.00 90.00 94.44
Fractional coordinates of all 8 atoms:
La 0.0000 0.0000 0.0000
La 0.7446 0.7446 0.5000
La 0.5000 0.0000 0.0000
La 0.2554 0.2554 0.5000
La 0.0000 0.5000 0.0000
W 0.6794 0.3206 0.5000
W 0.5000 0.5000 0.0000
W 0.3206 0.6794 0.5000

***

Here is a relaxed structure of La3W4 from Alexandria via LeMat-Bulk. Energies are from PBE.

Computed properties:
Total moment, μB/cell: 0.0
E, eV per atom: -7.9579
Energy relative to the elements, kJ/mol of formula units: 1051
E above lowest polymorph, meV per atom: 1141

Lattice parameters (Å, degrees): 6.2446 6.2446 4.9825 90.00 90.00 120.00
Fractional coordinates of all 7 atoms:
W 0.6667 0.3333 0.5000
W 0.0000 0.0000 0.2347
W 0.0000 0.0000 0.7653
W 0.3333 0.6667 0.5000
La 0.5000 0.0000 0.0000
La 0.5000 0.5000 0.0000
La 0.0000 0.5000 0.0000

***

Here is a relaxed structure of LaW2 from Alexandria via LeMat-Bulk. Energies are from PBE.

Computed properties:
Total moment, μB/cell: 0.0
E, eV per atom: -9.7913
Energy relative to the elements, kJ/mol of formula units: 141

Lattice parameters (Å, degrees): 5.4724 5.4724 8.0296 69.90 69.90 34.26
Fractional coordinates of all 6 atoms:
La 0.8481 0.8481 0.5894
La 0.1519 0.1519 0.4106
W 0.1633 0.1633 0.9450
W 0.4977 0.4977 0.8166
W 0.8367 0.8367 0.0550
W 0.5023 0.5023 0.1834

***

Here is a relaxed structure of LaW3 from Alexandria via LeMat-Bulk. Energies are from PBE.

Computed properties:
Total moment, μB/cell: 0.0
E, eV per atom: -10.0455
Energy relative to the elements, kJ/mol of formula units: 348
E above lowest polymorph, meV per atom: 425

Lattice parameters (Å, degrees): 11.2631 11.2631 11.2631 159.21 159.21 29.57
Fractional coordinates of all 8 atoms:
W 0.1765 0.1765 0.0000
W 0.5000 0.0000 0.5000
W 0.7500 0.2500 0.5000
W 0.8235 0.8235 0.0000
W 0.2500 0.7500 0.5000
W 0.0000 0.5000 0.5000
La 0.3879 0.3879 0.0000
La 0.6121 0.6121 0.0000

***

Here is a relaxed structure of LaW4 from Alexandria via LeMat-Bulk. Energies are from PBE.

Computed properties:
Total moment, μB/cell: 0.0
E, eV per atom: -10.8543
Energy relative to the elements, kJ/mol of formula units: 238
E above lowest polymorph, meV per atom: 0

Lattice parameters (Å, degrees): 6.4180 6.4180 6.4180 140.38 140.38 57.27
Fractional coordinates of all 5 atoms:
W 0.7500 0.2500 0.5000
W 0.6219 0.6219 0.0000
W 0.3781 0.3781 0.0000
W 0.2500 0.7500 0.5000
La 0.0000 0.0000 0.0000

***

Here is a relaxed structure of LaW4 from Alexandria via LeMat-Bulk. Energies are from PBE.

Computed properties:
Total moment, μB/cell: 0.0
E, eV per atom: -8.1826
Energy relative to the elements, kJ/mol of formula units: 1527
E above lowest polymorph, meV per atom: 2672

Lattice parameters (Å, degrees): 4.7273 4.7273 4.7273 90.00 90.00 90.00
Fractional coordinates of all 5 atoms:
W 0.5000 0.5000 0.0000
W 0.0000 0.5000 0.5000
W 0.5000 0.0000 0.5000
W 0.0000 0.0000 0.0000
La 0.5000 0.5000 0.5000

***

Here is a relaxed structure of LaW5 from Alexandria via LeMat-Bulk. Energies are from PBE.

Computed properties:
Total moment, μB/cell: 0.0
E, eV per atom: -11.0481
Energy relative to the elements, kJ/mol of formula units: 329
E above lowest polymorph, meV per atom: 186

Lattice parameters (Å, degrees): 5.4580 5.4580 5.4580 60.00 60.00 60.00
Fractional coordinates of all 6 atoms:
W 0.6246 0.6246 0.1263
W 0.2500 0.2500 0.2500
W 0.6246 0.1263 0.6246
W 0.1263 0.6246 0.6246
W 0.6246 0.6246 0.6246
La 0.0000 0.0000 0.0000

***

Here is a relaxed structure of LaW2 from Alexandria via LeMat-Bulk. Energies are from PBE.

Computed properties:
Total moment, μB/cell: 0.0
E, eV per atom: -9.3146
Energy relative to the elements, kJ/mol of formula units: 279

Lattice parameters (Å, degrees): 2.8547 4.9096 8.3366 90.00 90.00 90.00
Fractional coordinates of all 6 atoms:
W 0.2233 0.0000 0.3366
W 0.7233 0.5000 0.1634
W 0.2767 0.5000 0.8366
W 0.7767 0.0000 0.6634
La 0.0000 0.0000 0.0000
La 0.5000 0.5000 0.5000

***

Here is a relaxed structure of LaW2 from Alexandria via LeMat-Bulk. Energies are from PBE.

Computed properties:
Total moment, μB/cell: 0.0
E, eV per atom: -9.8083
Energy relative to the elements, kJ/mol of formula units: 136

Lattice parameters (Å, degrees): 8.1753 8.1753 4.5851 90.00 90.00 152.61
Fractional coordinates of all 6 atoms:
La 0.4227 0.5773 0.2500
La 0.5773 0.4227 0.7500
W 0.1513 0.8487 0.2500
W 0.2434 0.7566 0.7500
W 0.7566 0.2434 0.2500
W 0.8487 0.1513 0.7500

***

Here is a relaxed structure of LaW2 from Alexandria via LeMat-Bulk. Energies are from PBE.

Computed properties:
Total moment, μB/cell: 0.0
E, eV per atom: -7.9038
Energy relative to the elements, kJ/mol of formula units: 687

Lattice parameters (Å, degrees): 6.6737 6.6737 6.6737 90.00 90.00 90.00
Fractional coordinates of all 12 atoms:
W 0.1032 0.8968 0.3968
W 0.6032 0.6032 0.6032
W 0.8968 0.1032 0.6032
W 0.6032 0.8968 0.1032
W 0.8968 0.3968 0.1032
W 0.3968 0.3968 0.3968
W 0.3968 0.1032 0.8968
W 0.1032 0.6032 0.8968
La 0.5000 0.0000 0.5000
La 0.5000 0.5000 0.0000
La 0.0000 0.5000 0.5000
La 0.0000 0.0000 0.0000

***

Here is a relaxed structure of LaW4 from Alexandria via LeMat-Bulk. Energies are from PBE.

Computed properties:
Total moment, μB/cell: 0.0
E, eV per atom: -10.5722
Energy relative to the elements, kJ/mol of formula units: 374
E above lowest polymorph, meV per atom: 282

Lattice parameters (Å, degrees): 5.0487 5.0487 5.0487 103.09 103.09 123.17
Fractional coordinates of all 5 atoms:
W 0.4366 0.8037 0.2403
W 0.8037 0.5634 0.3671
W 0.5634 0.1963 0.7597
W 0.1963 0.4366 0.6329
La 0.0000 0.0000 0.0000

***

Here is a relaxed structure of LaW5 from Alexandria via LeMat-Bulk. Energies are from PBE.

Computed properties:
Total moment, μB/cell: 0.0
E, eV per atom: -11.0521
Energy relative to the elements, kJ/mol of formula units: 326
E above lowest polymorph, meV per atom: 182

Lattice parameters (Å, degrees): 7.3111 7.3111 4.6963 90.00 90.00 154.53
Fractional coordinates of all 6 atoms:
W 0.4691 0.5309 0.5000
W 0.1450 0.8550 0.5000
W 0.7997 0.2003 0.5000
W 0.6506 0.3494 0.0000
W 0.2956 0.7044 0.0000
La 0.9733 0.0267 0.0000

***

Here is a relaxed structure of LaW3 from Alexandria via LeMat-Bulk. Energies are from PBE.

Computed properties:
Total moment, μB/cell: 0.0
E, eV per atom: -10.1994
Energy relative to the elements, kJ/mol of formula units: 288
E above lowest polymorph, meV per atom: 271

Lattice parameters (Å, degrees): 6.4176 6.4176 4.4909 90.00 90.00 106.05
Fractional coordinates of all 8 atoms:
La 0.3749 0.6251 0.7500
La 0.6251 0.3749 0.2500
W 0.1518 0.8482 0.2500
W 0.7534 0.9102 0.2500
W 0.0898 0.2466 0.2500
W 0.8482 0.1518 0.7500
W 0.9102 0.7534 0.7500
W 0.2466 0.0898 0.7500

***

Here is a relaxed structure of LaW2 from Alexandria via LeMat-Bulk. Energies are from PBE.

Computed properties:
Total moment, μB/cell: 0.0
E, eV per atom: -9.7719
Energy relative to the elements, kJ/mol of formula units: 146

Lattice parameters (Å, degrees): 6.4177 6.4177 6.4177 150.27 150.27 42.54
Fractional coordinates of all 3 atoms:
W 0.1980 0.1980 0.0000
W 0.8020 0.8020 0.0000
La 0.5000 0.5000 0.0000

***

Here is a relaxed structure of LaW2 from Alexandria via LeMat-Bulk. Energies are from PBE.

Computed properties:
Total moment, μB/cell: 0.0
E, eV per atom: -9.6858
Energy relative to the elements, kJ/mol of formula units: 171

Lattice parameters (Å, degrees): 8.1882 8.1882 4.6845 90.00 90.00 156.72
Fractional coordinates of all 6 atoms:
La 0.2205 0.7795 0.2500
La 0.7795 0.2205 0.7500
W 0.0652 0.9348 0.7500
W 0.9348 0.0652 0.2500
W 0.4373 0.5627 0.7500
W 0.5627 0.4373 0.2500

***

Here is a relaxed structure of LaW3 from Alexandria via LeMat-Bulk. Energies are from PBE.

Computed properties:
Total moment, μB/cell: 0.0
E, eV per atom: -10.0666
Energy relative to the elements, kJ/mol of formula units: 340
E above lowest polymorph, meV per atom: 404

Lattice parameters (Å, degrees): 4.8135 4.8135 3.2348 90.00 90.00 90.00
Fractional coordinates of all 4 atoms:
W 0.5000 0.0000 0.5000
W 0.0000 0.5000 0.5000
W 0.5000 0.5000 0.0000
La 0.0000 0.0000 0.0000